Record 1
This record from the Alexandria database describes BaY after structural relaxation. The functional is PBE.

Output
* ΔH_f (0 K): 291 meV per atom
* spin magnetization: 0.27 μB/f.u.
* relative energy among the computed polymorphs: 132 meV/atom
* E_tot: -3.90 eV/atom
* volume: 42.21 Å³ per atom

a = 3.8763 Å, b = 3.8763 Å, c = 6.4879 Å
α = 90.00°, β = 90.00°, γ = 120.00°
Space group P-6m2 (No. 187)
Unique sites:
Ba1 0.0000 0.0000 0.0000
Y1 0.6667 0.3333 0.5000

Record 2
This record from the Alexandria database describes RhPb2Cl after structural relaxation. The functional is PBE.

Output
* formation energy from raw total energies: 0.24 eV/atom
* spin magnetization: 0.00 μB/f.u.
* relative energy among the computed polymorphs: 484 meV/atom
* E_tot: -3.91 eV/atom
* volume: 23.38 Å³ per atom

a = 7.206 Å, b = 7.206 Å, c = 7.206 Å
α = 90.00°, β = 90.00°, γ = 90.00°
Space group F-43m (No. 216)
Unique sites:
Rh1 0.000 0.000 0.000
Pb1 0.000 0.000 0.500
Pb2 0.250 0.250 0.750
Cl1 0.250 0.250 0.250

Record 3
This record from the Alexandria database describes Hf2CdSn after structural relaxation. The functional is PBE.

Output
* ΔH_f (0 K): -163 meV per atom
* spin magnetization: 0.00 μB/f.u.
* relative energy among the computed polymorphs: 0 meV/atom
* E_tot: -6.37 eV/atom
* volume: 21.38 Å³ per atom

a = 4.400 Å, b = 4.400 Å, c = 4.417 Å
α = 90.00°, β = 90.00°, γ = 90.00°
Space group P4/mmm (No. 123)
Unique sites:
Hf1 0.000 0.500 0.000
Cd1 0.000 0.000 0.500
Sn1 0.500 0.500 0.500

Record 4
This record from the Alexandria database describes TlTc2Pt after structural relaxation. The functional is PBE.

Output
* ΔH_f (0 K): 543 meV per atom
* spin magnetization: 1.43 μB/f.u.
* relative energy among the computed polymorphs: 350 meV/atom
* E_tot: -6.74 eV/atom
* volume: 16.97 Å³ per atom

a = 6.475 Å, b = 6.475 Å, c = 6.475 Å
α = 90.00°, β = 90.00°, γ = 90.00°
Space group F-43m (No. 216)
Unique sites:
Tl1 0.000 0.000 0.000
Tc1 0.000 0.000 0.500
Tc2 0.250 0.250 0.750
Pt1 0.250 0.250 0.250